1.
Crystalline CoOsIN2 at its relaxed geometry, computed with PBE-GGA.

Computed properties:
- DOS(E_F): 3.83 states/eV/cell
- Symmetry: No. 123

a b c (Å): 3.6417 3.6417 6.3912
angles (deg): 90.00 90.00 90.00
With the nearest neighbours (Å) after each atom.
Positions (direct):
Co1 0.0000 0.0000 0.0000  4 N 1.82
Os1 0.5000 0.5000 0.5000  4 I 2.58
I1 0.0000 0.0000 0.5000  4 Os 2.58
N1 0.0000 0.5000 0.0000  2 Co 1.82
N2 0.5000 0.0000 0.0000  2 Co 1.82



2.
Crystalline CoOsIN2 at its relaxed geometry, computed with PBE-GGA.

Computed properties:
- DOS(E_F): 3.84 states/eV/cell
- Symmetry: No. 123

a b c (Å): 3.7887 3.7887 6.0541
angles (deg): 90.00 90.00 90.00
With the nearest neighbours (Å) after each atom.
Positions (direct):
Co1 0.0000 0.0000 0.0000  4 I 2.68
Os1 0.5000 0.5000 0.5000  4 N 1.89
I1 0.5000 0.5000 0.0000  4 Co 2.68
N1 0.0000 0.5000 0.5000  2 Os 1.89
N2 0.5000 0.0000 0.5000  2 Os 1.89



3.
Crystalline CoPIN2 at its relaxed geometry, computed with PBE-GGA.

Computed properties:
- DOS(E_F): 6.37 states/eV/cell
- Symmetry: No. 123

a b c (Å): 3.4462 3.4462 7.8834
angles (deg): 90.00 90.00 90.00
With the nearest neighbours (Å) after each atom.
Positions (direct):
Co1 0.0000 0.0000 0.0000  4 I 2.44
P1 0.5000 0.5000 0.5000  4 N 1.72
I1 0.5000 0.5000 0.0000  4 Co 2.44
N1 0.0000 0.5000 0.5000  2 P 1.72
N2 0.5000 0.0000 0.5000  2 P 1.72



4.
Crystalline CoPIN2 at its relaxed geometry, computed with PBE-GGA.

Computed properties:
- DOS(E_F): 4.33 states/eV/cell
- Symmetry: No. 123

a b c (Å): 3.6353 3.6353 7.8164
angles (deg): 90.00 90.00 90.00
With the nearest neighbours (Å) after each atom.
Positions (direct):
Co1 0.0000 0.0000 0.0000  4 N 1.82
P1 0.5000 0.5000 0.5000  4 I 2.57
I1 0.0000 0.0000 0.5000  4 P 2.57
N1 0.0000 0.5000 0.0000  2 Co 1.82
N2 0.5000 0.0000 0.0000  2 Co 1.82



5.
Crystalline CoPI2N at its relaxed geometry, computed with PBE-GGA.

Computed properties:
- DOS(E_F): 6.10 states/eV/cell
- Symmetry: No. 123

a b c (Å): 5.7028 5.7028 3.3524
angles (deg): 90.00 90.00 90.00
With the nearest neighbours (Å) after each atom.
Positions (direct):
Co1 0.0000 0.0000 0.0000  8 I 3.31, 2 Co 3.35
P1 0.5000 0.5000 0.5000  2 N 1.68
I1 0.0000 0.5000 0.5000  2 P 2.85
I2 0.5000 0.0000 0.5000  2 P 2.85
N1 0.5000 0.5000 0.0000  2 P 1.68



6.
Crystalline CoPI2N at its relaxed geometry, computed with PBE-GGA.

Computed properties:
- DOS(E_F): 3.78 states/eV/cell
- Symmetry: No. 123

a b c (Å): 5.3477 5.3477 3.4830
angles (deg): 90.00 90.00 90.00
With the nearest neighbours (Å) after each atom.
Positions (direct):
Co1 0.0000 0.0000 0.0000  2 N 1.74
P1 0.5000 0.5000 0.5000  8 I 3.19, 2 P 3.48
I1 0.0000 0.5000 0.0000  2 Co 2.67
I2 0.5000 0.0000 0.0000  2 Co 2.67
N1 0.0000 0.0000 0.5000  2 Co 1.74



7.
Crystalline CoPbI2N at its relaxed geometry, computed with PBE-GGA.

Computed properties:
- DOS(E_F): 3.68 states/eV/cell
- Symmetry: No. 123

a b c (Å): 5.6949 5.6949 3.5831
angles (deg): 90.00 90.00 90.00
With the nearest neighbours (Å) after each atom.
Positions (direct):
Co1 0.0000 0.0000 0.0000  2 N 1.79
Pb1 0.5000 0.5000 0.5000  8 I 3.36, 2 Pb 3.58
I1 0.0000 0.5000 0.0000  2 Co 2.85
I2 0.5000 0.0000 0.0000  2 Co 2.85
N1 0.0000 0.0000 0.5000  2 Co 1.79



8.
Crystalline CoPbI2N at its relaxed geometry, computed with PBE-GGA.

Computed properties:
- DOS(E_F): 10.54 states/eV/cell
- Symmetry: No. 123

a b c (Å): 6.2602 6.2602 4.1685
angles (deg): 90.00 90.00 90.00
With the nearest neighbours (Å) after each atom.
Positions (direct):
Co1 0.0000 0.0000 0.0000  8 I 3.76, 2 Co 4.17
Pb1 0.5000 0.5000 0.5000  2 N 2.08
I1 0.0000 0.5000 0.5000  2 Pb 3.13
I2 0.5000 0.0000 0.5000  2 Pb 3.13
N1 0.5000 0.5000 0.0000  2 Pb 2.08



Number 1: E above lowest polymorph 867.5 meV/atom, uncorrected formation energy 1.882 eV/atom, volume 16.95 Å³ per atom. Number 2: E above lowest polymorph 0.0 meV/atom, uncorrected formation energy 1.015 eV/atom, volume 17.38 Å³ per atom. Number 3: E above lowest polymorph 0.0 meV/atom, uncorrected formation energy 1.141 eV/atom, volume 18.73 Å³ per atom. Number 4: E above lowest polymorph 242.7 meV/atom, uncorrected formation energy 1.384 eV/atom, volume 20.66 Å³ per atom. Number 5: E above lowest polymorph 173.9 meV/atom, uncorrected formation energy 0.974 eV/atom, volume 21.81 Å³ per atom. Number 6: E above lowest polymorph 0.0 meV/atom, uncorrected formation energy 0.801 eV/atom, volume 19.92 Å³ per atom. Number 7: E above lowest polymorph 0.0 meV/atom, uncorrected formation energy 0.314 eV/atom, volume 23.24 Å³ per atom. Number 8: E above lowest polymorph 1042.3 meV/atom, uncorrected formation energy 1.357 eV/atom, volume 32.67 Å³ per atom.